Below is crystalline Tb4Er3PuSe8 at its relaxed geometry, with properties calculated at the GGA-PBE level.

Properties
For the formation energy (no corrections), the calculation gives -1.72 eV/atom. Its space group is R-3m. Its total magnetization is 5.9 Bohr magnetons per cell.

Cell lengths 8.1635, 8.1635, 8.1635 Å; angles 59.89, 59.89, 59.89 degrees
Sites, in units of the cell vectors:
Tb  0.0000  0.0000  0.0000
Tb  0.0000  0.5000  0.5000
Tb  0.5000  0.0000  0.5000
Tb  0.5000  0.5000  0.0000
Er  0.0000  0.0000  0.5000
Er  0.0000  0.5000  0.0000
Er  0.5000  0.0000  0.0000
Pu  0.5000  0.5000  0.5000
Se  0.2453  0.7510  0.7510
Se  0.2481  0.2481  0.2481
Se  0.2490  0.2490  0.7547
Se  0.2490  0.7547  0.2490
Se  0.7510  0.2453  0.7510
Se  0.7510  0.7510  0.2453
Se  0.7519  0.7519  0.7519
Se  0.7547  0.2490  0.2490

---

Below is crystalline FeNiPdS2 at its relaxed geometry, with properties calculated at the GGA-PBE level.

Properties
For the formation energy (no corrections), the calculation gives 0.57 eV/atom. Its space group is P4/mmm. Its total magnetization is 3.4 Bohr magnetons per cell.

Cell lengths 4.3053, 4.3053, 4.4503 Å; angles 90.00, 90.00, 90.00 degrees
Sites, in units of the cell vectors:
Fe  0.0000  0.0000  0.0000
Ni  0.0000  0.0000  0.5000
Pd  0.5000  0.5000  0.5000
S  0.0000  0.5000  0.0000
S  0.5000  0.0000  0.0000

---

Below is crystalline FeCu2W at its relaxed geometry, with properties calculated at the GGA-PBE level.

Properties
The calculation puts the offset from the most stable computed form at 250.0 meV/atom. Its space group is P4/mmm. The calculation puts the formation energy from the elements at 0.456 eV per atom. Its total magnetization is 2.7 Bohr magnetons per cell.

Cell lengths 4.5423, 4.5423, 2.5978 Å; angles 90.00, 90.00, 90.00 degrees
Sites, in units of the cell vectors:
Fe  0.0000  0.0000  0.0000
Cu  0.0000  0.5000  0.5000
Cu  0.5000  0.0000  0.5000
W  0.5000  0.5000  0.0000

---

Below is crystalline RbNa2Pd at its relaxed geometry, with properties calculated at the GGA-PBE level.

Properties
The calculation puts the offset from the most stable computed form at 80.2 meV/atom. Its space group is P4/mmm. The calculation puts the formation energy from the elements at 0.121 eV per atom. Its total magnetization is 0.0 Bohr magnetons per cell.

Cell lengths 3.8426, 3.8426, 9.2276 Å; angles 90.00, 90.00, 90.00 degrees
Sites, in units of the cell vectors:
Rb  0.0000  0.0000  0.0000
Na  0.5000  0.5000  0.3451
Na  0.5000  0.5000  0.6549
Pd  0.0000  0.0000  0.5000

---

Below is crystalline Zn2HgO3 at its relaxed geometry, with properties calculated at the GGA-PBE level.

Properties
For the formation energy (no corrections), the calculation gives -0.99 eV/atom. Its space group is Fdd2. Its total magnetization is 0.0 Bohr magnetons per cell.

Cell lengths 11.3994, 5.8797, 10.9119 Å; angles 79.36, 30.46, 70.18 degrees
Sites, in units of the cell vectors:
Zn  0.0000  0.0000  0.0000
Zn  0.0832  0.4129  0.0888
Zn  0.1612  0.8349  0.1668
Zn  0.2500  0.2500  0.2500
Zn  0.4129  0.0832  0.4151
Zn  0.4989  0.4989  0.5011
Zn  0.7489  0.7489  0.7511
Zn  0.8349  0.1612  0.8371
Hg  0.3172  0.6728  0.3404
Hg  0.5804  0.9096  0.5772
Hg  0.6728  0.3172  0.6696
Hg  0.9096  0.5804  0.9328
O  0.0813  0.1911  0.2551
O  0.0940  0.6233  0.3800
O  0.1911  0.0813  0.4725
O  0.3236  0.4271  0.5234
O  0.3473  0.8700  0.6267
O  0.4271  0.3236  0.7259
O  0.5241  0.7266  0.8229
O  0.6233  0.0940  0.9027
O  0.7266  0.5241  0.9264
O  0.7775  0.9949  0.0589
O  0.8700  0.3473  0.1560
O  0.9949  0.7775  0.1687

---

Below is crystalline Pr5Nd3Sm4 at its relaxed geometry, with properties calculated at the GGA-PBE level.

Properties
The calculation puts the offset from the most stable computed form at 185.9 meV/atom. Its space group is C2/m. The calculation puts the formation energy from the elements at 0.198 eV per atom. Its total magnetization is 0.0 Bohr magnetons per cell.

Cell lengths 8.7906, 8.7906, 9.4855 Å; angles 114.16, 114.16, 40.71 degrees
Sites, in units of the cell vectors:
Pr  0.0000  0.0000  0.0000
Pr  0.3270  0.3270  0.6131
Pr  0.4251  0.4251  0.3012
Pr  0.5749  0.5749  0.6988
Pr  0.6730  0.6730  0.3869
Nd  0.2083  0.2083  0.2267
Nd  0.5000  0.5000  0.0000
Nd  0.7917  0.7917  0.7733
Sm  0.0824  0.0824  0.4421
Sm  0.2133  0.2133  0.8781
Sm  0.7867  0.7867  0.1219
Sm  0.9176  0.9176  0.5579

---

Below is crystalline Tm8Zn2Ni at its relaxed geometry, with properties calculated at the GGA-PBE level.

Properties
Its space group is C2/m. The calculation puts the formation energy from the elements at -0.171 eV per atom. Its total magnetization is 0.0 Bohr magnetons per cell.

Cell lengths 8.9333, 8.9333, 6.6299 Å; angles 105.82, 105.82, 32.83 degrees
Sites, in units of the cell vectors:
Tm  0.0264  0.0264  0.2842
Tm  0.2020  0.2020  0.8133
Tm  0.3427  0.3427  0.5341
Tm  0.4097  0.4097  0.0622
Tm  0.5903  0.5903  0.9378
Tm  0.6573  0.6573  0.4659
Tm  0.7980  0.7980  0.1867
Tm  0.9736  0.9736  0.7158
Zn  0.1869  0.1869  0.2246
Zn  0.8131  0.8131  0.7754
Ni  0.5000  0.5000  0.5000

---

Below is crystalline As3Pb2 at its relaxed geometry, with properties calculated at the GGA-PBE level.

Properties
The calculation puts the offset from the most stable computed form at 0.0 meV/atom. Its space group is P-3m1. The calculation puts the formation energy from the elements at 0.058 eV per atom. Its total magnetization is 0.0 Bohr magnetons per cell.

Cell lengths 4.2074, 4.2074, 9.1943 Å; angles 90.00, 90.00, 120.00 degrees
Sites, in units of the cell vectors:
As  0.0000  0.0000  0.0000
As  0.3333  0.6667  0.4429
As  0.6667  0.3333  0.5571
Pb  0.3333  0.6667  0.8165
Pb  0.6667  0.3333  0.1835

---

Below is crystalline Ce2PmPdS5 at its relaxed geometry, with properties calculated at the GGA-PBE level.

Properties
For the formation energy (no corrections), the calculation gives -1.70 eV/atom. Its space group is Cmc2_1. Its total magnetization is 2.2 Bohr magnetons per cell.

Cell lengths 8.5311, 8.5311, 12.0334 Å; angles 90.00, 90.00, 153.56 degrees
Sites, in units of the cell vectors:
Ce  0.1110  0.8890  0.5000
Ce  0.1187  0.8813  0.8441
Ce  0.8813  0.1187  0.3441
Ce  0.8890  0.1110  0.0000
Pm  0.1744  0.8256  0.1750
Pm  0.8256  0.1744  0.6750
Pd  0.4498  0.5502  0.5665
Pd  0.5502  0.4498  0.0665
S  0.0043  0.9957  0.1673
S  0.3039  0.6961  0.8428
S  0.3103  0.6897  0.5021
S  0.3424  0.6576  0.1700
S  0.4940  0.5060  0.8870
S  0.5060  0.4940  0.3870
S  0.6576  0.3424  0.6700
S  0.6897  0.3103  0.0021
S  0.6961  0.3039  0.3428
S  0.9957  0.0043  0.6673

---

Below is crystalline La2AlCl at its relaxed geometry, with properties calculated at the GGA-PBE level.

Properties
The calculation puts the offset from the most stable computed form at 63.2 meV/atom. For the formation energy (no corrections), the calculation gives -0.88 eV/atom. Its space group is R-3m. Its total magnetization is 0.0 Bohr magnetons per cell.

Cell lengths 8.3705, 8.3705, 8.3705 Å; angles 28.18, 28.18, 28.18 degrees
Sites, in units of the cell vectors:
La  0.2483  0.2483  0.2483
La  0.7517  0.7517  0.7517
Al  0.0000  0.0000  0.0000
Cl  0.5000  0.5000  0.5000

---

Below is crystalline Tl2CrCl at its relaxed geometry, with properties calculated at the GGA-PBE level.

Properties
The calculation puts the offset from the most stable computed form at 162.4 meV/atom. For the formation energy (no corrections), the calculation gives 0.08 eV/atom. Its space group is C2/m. Its total magnetization is 4.4 Bohr magnetons per cell.

Cell lengths 5.4072, 5.4072, 3.3644 Å; angles 90.15, 90.15, 92.64 degrees
Sites, in units of the cell vectors:
Tl  0.0000  0.5000  0.0000
Tl  0.5000  0.0000  0.0000
Cr  0.0000  0.0000  0.5000
Cl  0.5000  0.5000  0.5000

---

Below is crystalline PuPa2Si at its relaxed geometry, with properties calculated at the GGA-PBE level.

Properties
The calculation puts the offset from the most stable computed form at 0.0 meV/atom. For the formation energy (no corrections), the calculation gives -0.29 eV/atom. Its space group is P4/mmm. Its total magnetization is 4.8 Bohr magnetons per cell.

Cell lengths 4.5084, 4.5084, 4.2333 Å; angles 90.00, 90.00, 90.00 degrees
Sites, in units of the cell vectors:
Pu  0.0000  0.0000  0.0000
Pa  0.0000  0.5000  0.5000
Pa  0.5000  0.0000  0.5000
Si  0.5000  0.5000  0.0000

---

Which formula does entry 6 have? Pr5Nd3Sm4